Below is a PBEsol-optimized structure of BaSbOs4, with properties calculated at the SCAN level.

Cell: 5.409 5.409 5.409 Å, 60.00 60.00 60.00°
Sites, in units of the cell vectors:
Ba1 0.000 0.000 0.000
Os1 0.376 0.376 0.376
Os2 0.376 0.376 0.872
Os3 0.872 0.376 0.376
Os4 0.376 0.872 0.376
Sb1 0.750 0.750 0.750

Space-group type   F-43m (216)
E_form (uncorrected)   0.9695 eV/atom

---

Below is a PBEsol-optimized structure of Ba4ScOs, with properties calculated at the SCAN level.

Cell: 6.613 6.613 6.613 Å, 60.00 60.00 60.00°
Each line ends with the local moment (μB).
Sites, in units of the cell vectors:
Ba1 0.376 0.376 0.376  0.19
Ba2 0.376 0.376 0.872  0.19
Ba3 0.872 0.376 0.376  0.19
Ba4 0.376 0.872 0.376  0.19
Os1 0.750 0.750 0.750  -1.25
Sc1 0.000 0.000 0.000  0.73

Space-group type   F-43m (216)
Formation energy from the elements   1.3691 eV/atom

---

Below is a PBEsol-optimized structure of BaSc3Os, with properties calculated at the SCAN level.

Cell: 5.154 5.154 5.154 Å, 90.00 90.00 90.00°
Sites, in units of the cell vectors:
Sc1 0.000 0.500 0.000
Sc2 0.000 0.000 0.500
Sc3 0.500 0.000 0.000
Os1 0.000 0.000 0.000
Ba1 0.500 0.500 0.500

Space-group type   Pm-3m (221)
Formation energy from the elements   -0.1567 eV/atom

---

Below is a PBEsol-optimized structure of BaSiOs3, with properties calculated at the SCAN level.

Cell: 4.575 4.575 4.575 Å, 90.00 90.00 90.00°
Each line ends with the local moment (μB).
Sites, in units of the cell vectors:
Si1 0.000 0.000 0.000  -0.01
Os1 0.000 0.500 0.000  0.32
Os2 0.000 0.000 0.500  0.32
Os3 0.500 0.000 0.000  0.32
Ba1 0.500 0.500 0.500  0.02

Offset from the most stable computed form   0.0 meV/atom
Space-group type   Pm-3m (221)
E_form (uncorrected)   1.0453 eV/atom

---

Record-wise total energy values, in eV per formula unit: -358.5; -236.1; -154.9; -260.0